Material: SbH2Pd6
Method: DFT, PBE
State: relaxed

Summary:
E, eV per cell: -43.13
D(E_F), states/eV per cell: 3.070
Space-group type: C2/m, No. 12

Structure (CIF):
```
data_SbH2Pd6
_chemical_formula_sum 'Sb1 H2 Pd6'
_space_group_name_H-M_alt 'P 1'
_space_group_IT_number 1
_cell_length_a 5.625
_cell_length_b 5.625
_cell_length_c 7.924
_cell_angle_alpha 127.20
_cell_angle_beta 127.20
_cell_angle_gamma 42.88
loop_
_space_group_symop_operation_xyz
'x,y,z'
loop_
_atom_site_label
_atom_site_type_symbol
_atom_site_fract_x
_atom_site_fract_y
_atom_site_fract_z
Sb1 Sb 0.000 0.000 0.000
H1 H 0.168 0.168 0.670
H2 H 0.832 0.832 0.330
Pd1 Pd 0.026 0.026 0.348
Pd2 Pd 0.320 0.320 0.349
Pd3 Pd 0.340 0.340 0.994
Pd4 Pd 0.660 0.660 0.006
Pd5 Pd 0.680 0.680 0.651
Pd6 Pd 0.974 0.974 0.652
```